[1]
Compound: SrTe3N
Source: Alexandria
Functional: PBE
Structure: relaxed

Energy ... -2.724 eV per atom
Magnetization ... 1.027 μB per atom
Uncorrected formation energy ... 1.162 eV per atom
ΔE to the lowest computed polymorph ... 6.10 eV per formula unit
Space group ... Pm-3m, No. 221

Cell lengths 6.2480, 6.2480, 6.2480 Å; angles 90.00, 90.00, 90.00 degrees
Closest atoms and distances in Å follow each position.
Fractional coordinates of all 5 atoms:
Sr 0.0000 0.0000 0.0000  6 Te 3.12
Te 0.0000 0.0000 0.5000  2 Sr 3.12
Te 0.0000 0.5000 0.0000  2 Sr 3.12
Te 0.5000 0.0000 0.0000  2 Sr 3.12
N 0.5000 0.5000 0.5000  12 Te 4.42

***

[2]
Compound: KMnOs2
Source: Alexandria
Functional: PBE
Structure: relaxed

Energy ... -7.390 eV per atom
Magnetization ... 0.728 μB per atom
ΔE to the lowest computed polymorph ... 0.31 eV per formula unit
Space group ... Cmmm, No. 65

Cell lengths 2.7249, 2.7249, 9.9791 Å; angles 90.00, 90.00, 115.80 degrees
Closest atoms and distances in Å follow each position.
Fractional coordinates of all 4 atoms:
K 0.0000 0.0000 0.0000  6 K 2.72-2.90
Mn 0.0000 0.0000 0.5000  4 Os 2.52, 4 Mn 2.72
Os 0.5000 0.5000 0.2933  2 Mn 2.52, 4 Os 2.72
Os 0.5000 0.5000 0.7067  2 Mn 2.52, 4 Os 2.72

***

[3]
Compound: BaFe2Bi
Source: Alexandria
Functional: PBE
Structure: relaxed

Energy ... -4.963 eV per atom
Magnetization ... 0.099 μB per atom
Space group ... I4_1/amd, No. 141

Cell lengths 9.6620, 9.6620, 9.6620 Å; angles 150.48, 150.48, 42.23 degrees
Closest atoms and distances in Å follow each position.
Fractional coordinates of all 8 atoms:
Ba 0.3750 0.6250 0.7500  4 Bi 3.48, 8 Fe 3.56
Ba 0.6250 0.3750 0.2500  4 Bi 3.48, 8 Fe 3.56
Fe 0.0000 0.0000 0.0000  2 Fe 2.46, 2 Bi 2.57
Fe 0.0000 0.0000 0.5000  2 Fe 2.46, 2 Bi 2.57
Fe 0.0000 0.5000 0.0000  2 Fe 2.46, 2 Bi 2.57
Fe 0.5000 0.0000 0.5000  2 Fe 2.46, 2 Bi 2.57
Bi 0.1250 0.8750 0.2500  4 Fe 2.57
Bi 0.8750 0.1250 0.7500  4 Fe 2.57

***

[4]
Compound: LiCdIr2
Source: Alexandria
Functional: PBE
Structure: relaxed

Energy ... -4.961 eV per atom
Magnetization ... 0.000 μB per atom
Space group ... Cmm2, No. 35

Cell lengths 2.7749, 2.7749, 9.5003 Å; angles 90.00, 90.00, 119.52 degrees
Closest atoms and distances in Å follow each position.
Fractional coordinates of all 4 atoms:
Li 0.0000 0.0000 0.0000  2 Ir 2.57, 6 Li 2.77-2.79
Cd 0.5000 0.5000 0.7312  6 Cd 2.77-2.79, 2 Ir 2.88, 2 Li 2.91
Ir 0.0000 0.0000 0.4661  8 Ir 2.66-2.79, 2 Cd 2.88
Ir 0.5000 0.5000 0.2276  2 Li 2.57, 8 Ir 2.66-2.79

***

[5]
Compound: La5Si3N9
Source: Alexandria
Functional: PBE
Structure: relaxed

Energy ... -8.187 eV per atom
Magnetization ... 0.000 μB per atom
Uncorrected formation energy ... -1.373 eV per atom
Space group ... Cmce, No. 64

Cell lengths 7.8457, 7.8457, 16.0863 Å; angles 90.00, 90.00, 93.80 degrees
Closest atoms and distances in Å follow each position.
Fractional coordinates of all 68 atoms:
La 0.0055 0.9945 0.8861  1 N 2.41
La 0.0163 0.9837 0.3376  7 N 2.50-2.69
La 0.0335 0.5483 0.1308  4 N 2.47-2.71
La 0.0483 0.5335 0.6308  4 N 2.47-2.71
La 0.2078 0.2078 0.5000  4 N 2.41-2.53
La 0.2922 0.2922 0.0000  4 N 2.41-2.53
La 0.4517 0.9665 0.1308  4 N 2.47-2.71
La 0.4665 0.9517 0.6308  4 N 2.47-2.71
La 0.4837 0.5163 0.8376  7 N 2.50-2.69
La 0.4945 0.5055 0.3861  1 N 2.41
La 0.5055 0.4945 0.6139  1 N 2.41
La 0.5163 0.4837 0.1624  7 N 2.50-2.69
La 0.5335 0.0483 0.3692  4 N 2.47-2.71
La 0.5483 0.0335 0.8692  4 N 2.47-2.71
La 0.7078 0.7078 0.0000  4 N 2.41-2.53
La 0.7922 0.7922 0.5000  4 N 2.41-2.53
La 0.9517 0.4665 0.3692  4 N 2.47-2.71
La 0.9665 0.4517 0.8692  4 N 2.47-2.71
La 0.9837 0.0163 0.6624  7 N 2.50-2.69
La 0.9945 0.0055 0.1139  1 N 2.41
Si 0.2140 0.2860 0.2500  4 N 1.74-1.75
Si 0.2238 0.7762 0.7741  4 N 1.72-1.73
Si 0.2385 0.7615 0.9830  4 N 1.76-1.78
Si 0.2615 0.7385 0.4830  4 N 1.76-1.78
Si 0.2762 0.7238 0.2741  4 N 1.72-1.73
Si 0.2860 0.2140 0.7500  4 N 1.74-1.75
Si 0.7140 0.7860 0.2500  4 N 1.74-1.75
Si 0.7238 0.2762 0.7259  4 N 1.72-1.73
Si 0.7385 0.2615 0.5170  4 N 1.76-1.78
Si 0.7615 0.2385 0.0170  4 N 1.76-1.78
Si 0.7762 0.2238 0.2259  4 N 1.72-1.73
Si 0.7860 0.7140 0.7500  4 N 1.74-1.75
N 0.0068 0.7438 0.7577  2 Si 1.72-1.74
N 0.0153 0.7221 0.9999  1 Si 1.78
N 0.1364 0.8636 0.5462  1 Si 1.76
N 0.1607 0.8393 0.2054  1 Si 1.72
N 0.2027 0.2729 0.6543  1 Si 1.75
N 0.2221 0.5153 0.4999  1 Si 1.78
N 0.2271 0.2973 0.8457  1 Si 1.75
N 0.2281 0.7719 0.3763  2 Si 1.73-1.76
N 0.2438 0.5068 0.2577  2 Si 1.72-1.74
N 0.2562 0.9932 0.7577  2 Si 1.72-1.74
N 0.2719 0.7281 0.8763  2 Si 1.73-1.76
N 0.2729 0.2027 0.3457  1 Si 1.75
N 0.2779 0.9847 0.9999  1 Si 1.78
N 0.2973 0.2271 0.1543  1 Si 1.75
N 0.3393 0.6607 0.7054  1 Si 1.72
N 0.3636 0.6364 0.0462  1 Si 1.76
N 0.4847 0.7779 0.4999  1 Si 1.78
N 0.4932 0.7562 0.2577  2 Si 1.72-1.74
N 0.5068 0.2438 0.7423  2 Si 1.72-1.74
N 0.5153 0.2221 0.5001  1 Si 1.78
N 0.6364 0.3636 0.9538  1 Si 1.76
N 0.6607 0.3393 0.2946  1 Si 1.72
N 0.7027 0.7729 0.8457  1 Si 1.75
N 0.7221 0.0153 0.0001  1 Si 1.78
N 0.7271 0.7973 0.6543  1 Si 1.75
N 0.7281 0.2719 0.1237  2 Si 1.73-1.76
N 0.7438 0.0068 0.2423  2 Si 1.72-1.74
N 0.7562 0.4932 0.7423  2 Si 1.72-1.74
N 0.7719 0.2281 0.6237  2 Si 1.73-1.76
N 0.7729 0.7027 0.1543  1 Si 1.75
N 0.7779 0.4847 0.5001  1 Si 1.78
N 0.7973 0.7271 0.3457  1 Si 1.75
N 0.8393 0.1607 0.7946  1 Si 1.72
N 0.8636 0.1364 0.4538  1 Si 1.76
N 0.9847 0.2779 0.0001  1 Si 1.78
N 0.9932 0.2562 0.2423  2 Si 1.72-1.74

***

[6]
Compound: Sr2TiPb
Source: Alexandria
Functional: PBE
Structure: relaxed

Energy ... -3.296 eV per atom
Magnetization ... 0.748 μB per atom
Space group ... I-42d, No. 122

Cell lengths 7.2688, 7.2688, 7.2688 Å; angles 102.00, 102.00, 125.76 degrees
Closest atoms and distances in Å follow each position.
Fractional coordinates of all 8 atoms:
Sr 0.1195 0.6250 0.9945  2 Pb 3.30, 2 Sr 3.32, 2 Ti 3.37
Sr 0.3750 0.3695 0.4945  2 Pb 3.30, 2 Sr 3.32, 2 Ti 3.37
Sr 0.6305 0.1250 0.0055  2 Pb 3.30, 2 Sr 3.32, 2 Ti 3.37
Sr 0.8750 0.8805 0.5055  2 Pb 3.30, 2 Sr 3.32, 2 Ti 3.37
Ti 0.2500 0.7500 0.5000  2 Pb 3.31, 4 Sr 3.37
Ti 0.5000 0.5000 0.0000  2 Pb 3.31, 4 Sr 3.37
Pb 0.0000 0.0000 0.0000  4 Sr 3.30, 2 Ti 3.31
Pb 0.7500 0.2500 0.5000  4 Sr 3.30, 2 Ti 3.31